Material: BaSi2Se
Method: DFT, meta-GGA SCAN
State: PBEsol geometry

E in eV for the cell shown: -158.12
ΔE_f (raw) in kJ per mole of atoms: 14.5
N(E_F) in states/eV/f.u.: 2.29
Distance to the lowest polymorph of the same formula in eV/f.u.: 2.162
Symmetry: I-42d, No. 122
Size of the total moment in μB/cell: 0.00

a = 6.5258 Å, b = 6.5258 Å, c = 6.5258 Å
α = 104.39°, β = 104.39°, γ = 120.19°
Last column: nearest neighbours and their distance in Å.
Fractional positions:
Ba 0.0000 0.0000 0.0000  2 Se 3.25, 8 Si 3.43
Ba 0.7500 0.2500 0.5000  2 Se 3.25, 8 Si 3.43
Si 0.2078 0.1250 0.5828  2 Se 2.54
Si 0.3750 0.7922 0.9172  2 Se 2.54
Si 0.5422 0.6250 0.4172  2 Se 2.54
Si 0.8750 0.4578 0.0828  2 Se 2.54
Se 0.2500 0.7500 0.5000  4 Si 2.54
Se 0.5000 0.5000 0.0000  4 Si 2.54